Record 1
This record from the Alexandria database describes a relaxed structure of ZrO2. The functional is PBE.

extended XYZ file:
```
6
Lattice="3.645 0.000 0.000 0.000 3.645 0.000 0.000 0.000 5.305" Properties=species:S:1:pos:R:3 pbc="T T T"
Zr 0.911 2.734 1.326
Zr 2.734 0.911 3.979
O 0.911 0.911 0.293
O 0.911 0.911 2.946
O 2.734 2.734 2.359
O 2.734 2.734 5.012
```

Output
VASP energy ... -56.80 eV/cell
Energy relative to the elements, uncorrected ... -3312 meV per atom

Record 2
This record from the Alexandria database describes a relaxed structure of ZrO2. The functional is PBE.

extended XYZ file:
```
12
Lattice="10.498 0.000 0.000 0.000 3.506 0.000 0.000 0.000 3.845" Properties=species:S:1:pos:R:3 pbc="T T T"
Zr 1.250 0.877 0.954
Zr 3.999 2.630 2.876
Zr 6.499 0.877 0.969
Zr 9.248 2.630 2.891
O 0.282 0.877 2.921
O 2.258 2.630 1.550
O 2.991 0.877 3.472
O 4.967 2.630 0.998
O 5.531 0.877 2.847
O 7.507 2.630 0.373
O 8.239 0.877 2.295
O 10.216 2.630 0.924
```

Output
VASP energy ... -113.64 eV/cell
Energy relative to the elements, uncorrected ... -3315 meV per atom

Record 3
This record from the Alexandria database describes a relaxed structure of ZrO2. The functional is PBE.

extended XYZ file:
```
30
Lattice="8.175 0.000 0.000 0.000 8.175 0.000 0.000 0.000 5.093" Properties=species:S:1:pos:R:3 pbc="T T T"
Zr 0.609 5.052 1.249
Zr 0.964 7.565 3.845
Zr 2.044 2.044 0.937
Zr 3.123 4.697 3.845
Zr 3.478 7.210 1.249
Zr 4.697 0.964 3.845
Zr 5.052 3.478 1.249
Zr 6.131 6.131 4.157
Zr 7.210 0.609 1.249
Zr 7.565 3.123 3.845
O 0.354 1.316 4.717
O 0.387 2.954 1.985
O 1.134 0.387 1.985
O 1.316 3.733 4.717
O 2.044 6.131 0.000
O 2.044 6.131 2.547
O 2.771 0.354 4.717
O 2.954 3.701 1.985
O 3.701 1.134 1.985
O 3.733 2.771 4.717
O 4.442 5.404 0.377
O 4.474 7.041 3.108
O 5.221 4.474 3.108
O 5.404 7.820 0.377
O 6.131 2.044 0.000
O 6.131 2.044 2.547
O 6.859 4.442 0.377
O 7.041 7.788 3.108
O 7.788 5.221 3.108
O 7.820 6.859 0.377
```

Output
VASP energy ... -283.44 eV/cell
Energy relative to the elements, uncorrected ... -3293 meV per atom

Record 4
This record from the Alexandria database describes a relaxed structure of ZrO2. The functional is PBE.

extended XYZ file:
```
24
Lattice="20.249 0.000 0.000 0.000 3.292 0.000 0.000 0.000 5.039" Properties=species:S:1:pos:R:3 pbc="T T T"
Zr 1.437 0.823 0.027
Zr 3.843 2.469 2.539
Zr 6.282 0.823 0.020
Zr 8.687 2.469 2.547
Zr 11.561 0.823 2.492
Zr 13.967 2.469 5.020
Zr 16.406 0.823 2.500
Zr 18.812 2.469 5.012
O 0.461 2.469 0.943
O 2.335 2.469 4.019
O 2.893 0.823 1.564
O 4.798 0.823 3.502
O 5.326 2.469 0.982
O 7.232 2.469 4.084
O 7.789 0.823 1.499
O 9.663 0.823 3.462
O 10.585 2.469 1.577
O 12.460 2.469 3.540
O 13.017 0.823 0.955
O 14.923 0.823 4.058
O 15.451 2.469 1.538
O 17.356 2.469 3.475
O 17.914 0.823 1.021
O 19.788 0.823 4.097
```

Output
VASP energy ... -226.10 eV/cell
Energy relative to the elements, uncorrected ... -3266 meV per atom

Record 5
This record from the Alexandria database describes a relaxed structure of ZrO2. The functional is PBE.

extended XYZ file:
```
24
Lattice="5.264 0.000 0.000 0.000 5.391 0.000 0.000 0.000 10.342" Properties=species:S:1:pos:R:3 pbc="T T T"
Zr 0.222 0.848 1.430
Zr 0.222 1.848 6.601
Zr 2.410 3.543 1.430
Zr 2.410 4.544 6.601
Zr 2.854 0.848 3.741
Zr 2.854 1.848 8.912
Zr 5.042 3.543 3.741
Zr 5.042 4.544 8.912
O 0.908 3.578 5.502
O 0.908 4.510 0.331
O 1.307 3.179 8.014
O 1.307 4.908 2.844
O 1.326 0.484 8.014
O 1.326 2.212 2.844
O 1.724 0.882 5.502
O 1.724 1.814 0.331
O 3.540 3.578 10.011
O 3.540 4.510 4.840
O 3.939 3.179 7.498
O 3.939 4.908 2.327
O 3.958 0.484 7.498
O 3.958 2.212 2.327
O 4.356 0.882 10.011
O 4.356 1.814 4.840
```

Output
VASP energy ... -227.88 eV/cell
Energy relative to the elements, uncorrected ... -3340 meV per atom

Record 6
This record from the Alexandria database describes a relaxed structure of ZrO2. The functional is PBE.

extended XYZ file:
```
3
Lattice="3.211 0.000 0.000 0.000 3.211 0.000 0.000 0.000 5.257" Properties=species:S:1:pos:R:3 pbc="T T T"
Zr 0.000 0.000 0.000
O 0.000 0.000 1.957
O 0.000 0.000 3.300
```

Output
VASP energy ... -20.51 eV/cell
Energy relative to the elements, uncorrected ... -681 meV per atom

Record 7
This record from the Alexandria database describes a relaxed structure of ZrO2. The functional is PBE.

extended XYZ file:
```
6
Lattice="2.868 -2.868 0.000 2.868 2.868 0.000 -2.846 0.000 5.426" Properties=species:S:1:pos:R:3 pbc="T T T"
Zr 0.734 2.145 4.070
Zr 2.157 -2.145 1.357
O -0.697 0.708 3.537
O 0.726 -0.708 0.824
O 2.164 0.708 4.602
O 3.587 -0.708 1.889
```

Output
VASP energy ... -56.93 eV/cell
Energy relative to the elements, uncorrected ... -3334 meV per atom

Record 8
This record from the Alexandria database describes a relaxed structure of ZrO2. The functional is PBE.

extended XYZ file:
```
12
Lattice="7.759 0.000 0.000 0.000 3.490 0.000 0.000 0.000 5.493" Properties=species:S:1:pos:R:3 pbc="T T T"
Zr 1.322 0.873 0.782
Zr 2.558 2.618 3.528
Zr 5.201 0.873 1.965
Zr 6.438 2.618 4.711
O 0.850 2.618 4.889
O 1.121 2.618 2.015
O 2.759 0.873 4.762
O 3.030 0.873 2.143
O 4.729 2.618 3.350
O 5.000 2.618 0.731
O 6.639 0.873 3.478
O 6.910 0.873 0.604
```

Output
VASP energy ... -113.78 eV/cell
Energy relative to the elements, uncorrected ... -3327 meV per atom